Entry 1:
The following is a GGA-PBE calculation of a relaxed structure of CeLuScOs, from Alexandria via LeMat-Bulk.

The calculation puts the magnetization at 0.07 μB/atom. Its total energy is -7.04 eV/atom.

The structure belongs to space group F-43m (No. 216); the cell edges are 7.053, 7.053 and 7.053 Å and the angles 90.00°, 90.00° and 90.00°. The inequivalent atoms are Ce at (0.000, 0.000, 0.000), Lu at (0.000, 0.000, 0.500), Sc at (0.250, 0.250, 0.250) and Os at (0.250, 0.250, 0.750).



Entry 2:
The following is a GGA-PBE calculation of a relaxed structure of TlW3, from Alexandria via LeMat-Bulk.

The value obtained for the energy relative to the lowest polymorph listed for this composition is 0.0 kJ/mol of atoms. The calculation puts the magnetization at 0.00 μB/atom. Its total energy is -9.74 eV/atom.

The structure belongs to space group Cmmm (No. 65); the cell edges are 3.235, 4.730 and 9.336 Å and the angles 90.00°, 90.00° and 90.00°. The inequivalent atoms are Tl at (0.000, 0.000, 0.000), W at (0.000, 0.000, 0.500) and W at (0.000, 0.500, 0.270).



Entry 3:
The following is a GGA-PBE calculation of a relaxed structure of NaZn2In4, from Alexandria via LeMat-Bulk.

The calculation puts the magnetization at 0.00 μB/atom. Its total energy is -2.12 eV/atom.

The structure belongs to space group P-1 (No. 2); the cell edges are 5.201, 5.956 and 6.578 Å and the angles 87.85°, 68.18° and 65.24°. The inequivalent atoms are Na at (0.000, 0.000, 0.000), Zn at (0.250, 0.499, 0.508), In at (0.273, 0.392, 0.063) and In at (0.324, 0.962, 0.379).



Entry 4:
The following is a GGA-PBE calculation of a relaxed structure of Ru2ClO2, from Alexandria via LeMat-Bulk.

The value obtained for the energy relative to the lowest polymorph listed for this composition is 42.0 kJ/mol of atoms. The calculation puts the magnetization at 0.00 μB/atom. Its total energy is -5.52 eV/atom. The value obtained for the raw formation energy is 0.5381 eV per atom.

The structure belongs to space group P4/mbm (No. 127); the cell edges are 6.970, 6.970 and 2.734 Å and the angles 90.00°, 90.00° and 90.00°. The inequivalent atoms are Ru at (0.128, 0.372, 0.000), Cl at (0.000, 0.000, 0.500) and O at (0.115, 0.615, 0.500).



Look up the magnetization of the third one.
0.00 μB/atom



magnetization of number 4 (Ru2ClO2)?
0.00 μB/atom



What did the fourth record say?
The following is a GGA-PBE calculation of a relaxed structure of Ru2ClO2, from Alexandria via LeMat-Bulk.

The value obtained for the energy relative to the lowest polymorph listed for this composition is 42.0 kJ/mol of atoms. The calculation puts the magnetization at 0.00 μB/atom. Its total energy is -5.52 eV/atom. The value obtained for the raw formation energy is 0.5381 eV per atom.

The structure belongs to space group P4/mbm (No. 127); the cell edges are 6.970, 6.970 and 2.734 Å and the angles 90.00°, 90.00° and 90.00°. The inequivalent atoms are Ru at (0.128, 0.372, 0.000), Cl at (0.000, 0.000, 0.500) and O at (0.115, 0.615, 0.500).



Which value of magnetization does entry 4 give?
0.00 μB/atom